[1]
# Ac2PrReO8 | the Alexandria database | PBE | optimized geometry
data_Ac2PrReO8
_cell_length_a 5.3866
_cell_length_b 5.3902
_cell_length_c 7.2011
_cell_angle_alpha 89.99
_cell_angle_beta 90.02
_cell_angle_gamma 90.63
_symmetry_space_group_name_H-M 'P 1'
_symmetry_Int_Tables_number 1
loop_
_symmetry_equiv_pos_as_xyz
'x,y,z'
loop_
_atom_site_label
_atom_site_type_symbol
_atom_site_fract_x
_atom_site_fract_y
_atom_site_fract_z
Ac1 Ac 0.5004 0.5001 0.7573
Ac2 Ac 0.4996 0.4999 0.2427
Pr1 Pr 0.0000 0.0000 0.5000
Re1 Re 0.0000 0.0000 0.0000
O1 O 0.1701 0.8296 0.1973
O2 O 0.7513 0.7524 0.0002
O3 O 0.8301 0.1709 0.1970
O4 O 0.8299 0.1704 0.8027
O5 O 0.2487 0.2476 0.9998
O6 O 0.1699 0.8291 0.8030
O7 O 0.6937 0.6942 0.4999
O8 O 0.3063 0.3058 0.5001
# Space-group type: Cmmm (65)
# Crystal system: orthorhombic
# Formation energy without anion corrections: -2647 meV per atom


[2]
# BeNbAg | the Alexandria database | PBE | optimized geometry
data_BeNbAg
_cell_length_a 5.2841
_cell_length_b 4.7922
_cell_length_c 7.1816
_cell_angle_alpha 90.00
_cell_angle_beta 90.00
_cell_angle_gamma 90.00
_symmetry_space_group_name_H-M 'P 1'
_symmetry_Int_Tables_number 1
loop_
_symmetry_equiv_pos_as_xyz
'x,y,z'
loop_
_atom_site_label
_atom_site_type_symbol
_atom_site_fract_x
_atom_site_fract_y
_atom_site_fract_z
Be1 Be 0.7499 0.2500 0.4538
Be2 Be 0.7501 0.7500 0.9538
Be3 Be 0.2501 0.7500 0.5462
Be4 Be 0.2499 0.2500 0.0462
Nb1 Nb 0.2499 0.2500 0.3917
Nb2 Nb 0.2501 0.7500 0.8917
Nb3 Nb 0.7501 0.7500 0.6083
Nb4 Nb 0.7499 0.2500 0.1083
Ag1 Ag 0.9999 0.2500 0.7501
Ag2 Ag 0.5001 0.7500 0.2501
Ag3 Ag 0.0001 0.7500 0.2499
Ag4 Ag 0.4999 0.2500 0.7499
# Space-group type: Cmcm (63)
# Polymorph energy (0 for the lowest one): 368 meV per atom
# Energy of formation: 0.3518 eV per atom
# Crystal system: orthorhombic


Copy entry 1 word for word.
# Ac2PrReO8 | the Alexandria database | PBE | optimized geometry
data_Ac2PrReO8
_cell_length_a 5.3866
_cell_length_b 5.3902
_cell_length_c 7.2011
_cell_angle_alpha 89.99
_cell_angle_beta 90.02
_cell_angle_gamma 90.63
_symmetry_space_group_name_H-M 'P 1'
_symmetry_Int_Tables_number 1
loop_
_symmetry_equiv_pos_as_xyz
'x,y,z'
loop_
_atom_site_label
_atom_site_type_symbol
_atom_site_fract_x
_atom_site_fract_y
_atom_site_fract_z
Ac1 Ac 0.5004 0.5001 0.7573
Ac2 Ac 0.4996 0.4999 0.2427
Pr1 Pr 0.0000 0.0000 0.5000
Re1 Re 0.0000 0.0000 0.0000
O1 O 0.1701 0.8296 0.1973
O2 O 0.7513 0.7524 0.0002
O3 O 0.8301 0.1709 0.1970
O4 O 0.8299 0.1704 0.8027
O5 O 0.2487 0.2476 0.9998
O6 O 0.1699 0.8291 0.8030
O7 O 0.6937 0.6942 0.4999
O8 O 0.3063 0.3058 0.5001
# Space-group type: Cmmm (65)
# Crystal system: orthorhombic
# Formation energy without anion corrections: -2647 meV per atom


What did the first record say?
# Ac2PrReO8 | the Alexandria database | PBE | optimized geometry
data_Ac2PrReO8
_cell_length_a 5.3866
_cell_length_b 5.3902
_cell_length_c 7.2011
_cell_angle_alpha 89.99
_cell_angle_beta 90.02
_cell_angle_gamma 90.63
_symmetry_space_group_name_H-M 'P 1'
_symmetry_Int_Tables_number 1
loop_
_symmetry_equiv_pos_as_xyz
'x,y,z'
loop_
_atom_site_label
_atom_site_type_symbol
_atom_site_fract_x
_atom_site_fract_y
_atom_site_fract_z
Ac1 Ac 0.5004 0.5001 0.7573
Ac2 Ac 0.4996 0.4999 0.2427
Pr1 Pr 0.0000 0.0000 0.5000
Re1 Re 0.0000 0.0000 0.0000
O1 O 0.1701 0.8296 0.1973
O2 O 0.7513 0.7524 0.0002
O3 O 0.8301 0.1709 0.1970
O4 O 0.8299 0.1704 0.8027
O5 O 0.2487 0.2476 0.9998
O6 O 0.1699 0.8291 0.8030
O7 O 0.6937 0.6942 0.4999
O8 O 0.3063 0.3058 0.5001
# Space-group type: Cmmm (65)
# Crystal system: orthorhombic
# Formation energy without anion corrections: -2647 meV per atom